1.
10
Lattice="9.6959 0.0000 0.0000 0.0000 9.6959 0.0000 0.0000 0.0000 6.3804" Properties=species:S:1:pos:R:3 comment="Cs2SrLi2, relaxed, DFT PBE" magmom_total_mub_per_cell=0.00 polymorph_energy_ev_per_atom=0.000 formation_energy_ev_per_atom=0.218 n_ef_per_ev_atom=0.93 spacegroup=P4/mbm e_tot_ev_per_fu=-6.124 pbc="T T T"
Cs 1.7087 3.1392 0.0000
Cs 3.1392 7.9872 0.0000
Cs 6.5567 1.7087 0.0000
Cs 7.9872 6.5567 0.0000
Sr 0.0000 0.0000 3.1902
Sr 4.8480 4.8480 3.1902
Li 1.1074 5.9553 3.1902
Li 3.7406 1.1074 3.1902
Li 5.9553 8.5885 3.1902
Li 8.5885 3.7406 3.1902

=====

2.
4
Lattice="6.6424 0.0000 0.0000 0.0000 6.6424 0.0000 0.0000 0.0000 4.2066" Properties=species:S:1:pos:R:3 comment="CsSrLi2, relaxed, DFT PBE" magmom_total_mub_per_cell=0.00 polymorph_energy_ev_per_atom=0.056 formation_energy_ev_per_atom=0.190 n_ef_per_ev_atom=0.74 spacegroup=P4/mmm e_tot_ev_per_fu=-5.604 pbc="T T T"
Cs 0.0000 0.0000 0.0000
Sr 3.3212 3.3212 0.0000
Li 0.0000 3.3212 2.1033
Li 3.3212 0.0000 2.1033

=====

3.
5
Lattice="6.6060 0.0000 0.0000 0.0000 6.6060 0.0000 0.0000 0.0000 5.7959" Properties=species:S:1:pos:R:3 comment="CsSr2LiTl, relaxed, DFT PBE" magmom_total_mub_per_cell=0.01 formation_energy_ev_per_atom=0.015 n_ef_per_ev_atom=1.10 spacegroup=P4/mmm e_tot_ev_per_fu=-8.420 pbc="T T T"
Cs 0.0000 0.0000 0.0000
Sr 0.0000 3.3030 2.8980
Sr 3.3030 0.0000 2.8980
Li 3.3030 3.3030 0.0000
Tl 3.3030 3.3030 2.8980

=====

4.
5
Lattice="6.5097 0.0000 0.0000 0.0000 6.5097 0.0000 0.0000 0.0000 6.6260" Properties=species:S:1:pos:R:3 comment="CsSrLi2Y, relaxed, DFT PBE" magmom_total_mub_per_cell=2.58 formation_energy_ev_per_atom=0.808 n_ef_per_ev_atom=1.12 spacegroup=P4/mmm e_tot_ev_per_fu=-8.787 pbc="T T T"
Cs 0.0000 0.0000 0.0000
Sr 3.2549 3.2549 3.3130
Li 0.0000 3.2549 3.3130
Li 3.2549 0.0000 3.3130
Y 3.2549 3.2549 0.0000

=====

5.
5
Lattice="6.6563 0.0000 0.0000 0.0000 6.6563 0.0000 0.0000 0.0000 6.2903" Properties=species:S:1:pos:R:3 comment="CsSrLi2Zn, relaxed, DFT PBE" magmom_total_mub_per_cell=0.00 formation_energy_ev_per_atom=0.453 n_ef_per_ev_atom=0.98 spacegroup=P4/mmm e_tot_ev_per_fu=-5.372 pbc="T T T"
Cs 0.0000 0.0000 0.0000
Sr 3.3282 3.3282 3.1452
Li 0.0000 3.3282 3.1452
Li 3.3282 0.0000 3.1452
Zn 3.3282 3.3282 0.0000

=====

6.
5
Lattice="5.0771 0.0000 0.0000 0.0000 5.0771 0.0000 0.0000 0.0000 5.0771" Properties=species:S:1:pos:R:3 comment="CsLiTa3, relaxed, DFT PBE" magmom_total_mub_per_cell=0.00 polymorph_energy_ev_per_atom=0.968 formation_energy_ev_per_atom=3.061 n_ef_per_ev_atom=0.93 spacegroup=Pm-3m e_tot_ev_per_fu=-23.021 pbc="T T T"
Cs 0.0000 0.0000 0.0000
Li 2.5385 2.5385 2.5385
Ta 0.0000 0.0000 2.5385
Ta 0.0000 2.5385 0.0000
Ta 2.5385 0.0000 0.0000

=====

7.
5
Lattice="4.7309 0.0000 0.0000 0.0000 4.7309 0.0000 0.0000 0.0000 4.7309" Properties=species:S:1:pos:R:3 comment="CsLiTa3, relaxed, DFT PBE" magmom_total_mub_per_cell=0.00 polymorph_energy_ev_per_atom=0.000 formation_energy_ev_per_atom=2.093 n_ef_per_ev_atom=1.73 spacegroup=Pm-3m e_tot_ev_per_fu=-27.859 pbc="T T T"
Cs 0.0000 0.0000 0.0000
Li 2.3655 2.3655 2.3655
Ta 0.0000 2.3655 2.3655
Ta 2.3655 0.0000 2.3655
Ta 2.3655 2.3655 0.0000

=====

8.
8
Lattice="-1.9781 1.9781 12.1292 1.9781 -1.9781 12.1292 1.9781 1.9781 -12.1292" Properties=species:S:1:pos:R:3 comment="CsLiTa2, relaxed, DFT PBE" magmom_total_mub_per_cell=0.00 polymorph_energy_ev_per_atom=0.000 formation_energy_ev_per_atom=1.440 n_ef_per_ev_atom=0.78 spacegroup=I-42d e_tot_ev_per_fu=-20.711 pbc="T T T"
Cs 0.0000 0.0000 0.0000
Cs 0.0000 1.9781 6.0646
Li 1.9781 0.0000 6.0646
Li 0.0000 0.0000 12.1292
Ta 0.9890 -0.9335 9.0969
Ta 1.0446 0.9890 3.0323
Ta 0.9890 2.9116 -3.0323
Ta 0.9335 0.9890 15.1614

=====

9.
5
Lattice="6.9653 0.0000 0.0000 0.0000 6.9653 0.0000 0.0000 0.0000 6.9653" Properties=species:S:1:pos:R:3 comment="Cs3LiTa, relaxed, DFT PBE" magmom_total_mub_per_cell=5.01 formation_energy_ev_per_atom=1.302 n_ef_per_ev_atom=0.35 spacegroup=Pm-3m e_tot_ev_per_fu=-9.818 pbc="T T T"
Cs 0.0000 0.0000 3.4826
Cs 0.0000 3.4826 0.0000
Cs 3.4826 0.0000 0.0000
Li 3.4826 3.4826 3.4826
Ta 0.0000 0.0000 0.0000

=====

10.
5
Lattice="5.0309 0.0000 0.0000 0.0000 5.0309 0.0000 0.0000 0.0000 5.0309" Properties=species:S:1:pos:R:3 comment="CsLi3Ta, relaxed, DFT PBE" magmom_total_mub_per_cell=3.03 formation_energy_ev_per_atom=1.662 n_ef_per_ev_atom=0.19 spacegroup=Pm-3m e_tot_ev_per_fu=-10.140 pbc="T T T"
Cs 0.0000 0.0000 0.0000
Li 0.0000 0.0000 2.5154
Li 0.0000 2.5154 0.0000
Li 2.5154 0.0000 0.0000
Ta 2.5154 2.5154 2.5154

=====

11.
10
Lattice="10.0866 0.0000 0.0000 0.0000 10.0866 0.0000 0.0000 0.0000 3.4320" Properties=species:S:1:pos:R:3 comment="Cs2Li2Ta, relaxed, DFT PBE" magmom_total_mub_per_cell=5.92 formation_energy_ev_per_atom=1.347 n_ef_per_ev_atom=0.79 spacegroup=P4/mbm e_tot_ev_per_fu=-10.655 pbc="T T T"
Cs 1.3290 3.7143 0.0000
Cs 3.7143 8.7575 0.0000
Cs 6.3723 1.3290 0.0000
Cs 8.7575 6.3723 0.0000
Li 1.8278 6.8711 1.7160
Li 3.2155 1.8278 1.7160
Li 6.8711 8.2588 1.7160
Li 8.2588 3.2155 1.7160
Ta 0.0000 0.0000 0.0000
Ta 5.0433 5.0433 0.0000

=====

12.
8
Lattice="-4.2940 4.2940 3.5039 4.2940 -4.2940 3.5039 4.2940 4.2940 -3.5039" Properties=species:S:1:pos:R:3 comment="CsLi2Ta, relaxed, DFT PBE" magmom_total_mub_per_cell=7.92 formation_energy_ev_per_atom=1.450 n_ef_per_ev_atom=0.69 spacegroup=I-42d e_tot_ev_per_fu=-10.732 pbc="T T T"
Cs 0.0000 0.0000 0.0000
Cs 0.0000 4.2940 1.7520
Li 2.1470 2.5694 -0.8760
Li 6.0186 2.1470 0.8760
Li 2.1470 1.7246 2.6279
Li -1.7246 2.1470 4.3799
Ta 4.2940 0.0000 1.7520
Ta 0.0000 0.0000 3.5039

=====

13.
4
Lattice="0.0000 3.4279 3.4279 3.4279 0.0000 3.4279 3.4279 3.4279 0.0000" Properties=species:S:1:pos:R:3 comment="CsLiTa2, relaxed, DFT PBE" magmom_total_mub_per_cell=0.00 polymorph_energy_ev_per_atom=0.577 formation_energy_ev_per_atom=2.017 n_ef_per_ev_atom=1.21 spacegroup=Fm-3m e_tot_ev_per_fu=-18.405 pbc="T T T"
Cs 0.0000 0.0000 0.0000
Li 3.4279 3.4279 3.4279
Ta 1.7140 1.7140 1.7140
Ta 5.1419 5.1419 5.1419

=====

14.
5
Lattice="4.9407 0.0000 0.0000 0.0000 4.9407 0.0000 0.0000 0.0000 6.5600" Properties=species:S:1:pos:R:3 comment="CsLiTaTi2, relaxed, DFT PBE" magmom_total_mub_per_cell=0.00 formation_energy_ev_per_atom=1.358 n_ef_per_ev_atom=1.74 spacegroup=P4/mmm e_tot_ev_per_fu=-23.620 pbc="T T T"
Cs 0.0000 0.0000 0.0000
Li 2.4703 2.4703 0.0000
Ta 0.0000 0.0000 3.2800
Ti 0.0000 2.4703 3.2800
Ti 2.4703 0.0000 3.2800

=====

15.
5
Lattice="6.3028 0.0000 0.0000 0.0000 6.3028 0.0000 0.0000 0.0000 5.4600" Properties=species:S:1:pos:R:3 comment="CsLiTaTl2, relaxed, DFT PBE" magmom_total_mub_per_cell=1.59 formation_energy_ev_per_atom=1.849 n_ef_per_ev_atom=1.01 spacegroup=P4/mmm e_tot_ev_per_fu=-10.108 pbc="T T T"
Cs 0.0000 0.0000 0.0000
Li 3.1514 3.1514 2.7300
Ta 0.0000 0.0000 2.7300
Tl 0.0000 3.1514 0.0000
Tl 3.1514 0.0000 0.0000

=====

16.
5
Lattice="5.1015 0.0000 0.0000 0.0000 5.1015 0.0000 0.0000 0.0000 4.5273" Properties=species:S:1:pos:R:3 comment="CsLiZr2Ta, relaxed, DFT PBE" magmom_total_mub_per_cell=0.00 formation_energy_ev_per_atom=1.696 n_ef_per_ev_atom=1.05 spacegroup=P4/mmm e_tot_ev_per_fu=-23.236 pbc="T T T"
Cs 0.0000 0.0000 0.0000
Li 0.0000 0.0000 2.2636
Zr 0.0000 2.5507 2.2636
Zr 2.5507 0.0000 2.2636
Ta 2.5507 2.5507 0.0000

=====

17.
10
Lattice="3.3955 -8.2811 0.0000 3.3955 8.2811 0.0000 0.0000 0.0000 7.0400" Properties=species:S:1:pos:R:3 comment="CsLiTbTe2, relaxed, DFT PBE" magmom_total_mub_per_cell=0.67 raw_formation_energy_ev_per_atom=-0.973 n_ef_per_ev_atom=0.43 spacegroup=Cmme e_tot_ev_per_fu=-18.545 pbc="T T T"
Cs 3.3955 4.1405 5.3530
Cs 3.3955 -4.1405 1.6870
Li 0.0000 0.0000 0.0000
Li 3.3955 0.0000 0.0000
Tb 1.6978 0.0000 3.5200
Tb 5.0933 0.0000 3.5200
Te 3.3955 6.3858 1.8430
Te 3.3955 1.8952 1.8430
Te 3.3955 -1.8952 5.1970
Te 3.3955 -6.3858 5.1970

=====

18.
16
Lattice="2.2721 -7.7389 0.0000 2.2721 7.7389 0.0000 0.0000 0.0000 15.8914" Properties=species:S:1:pos:R:3 comment="CsLiTb2Te4, relaxed, DFT PBE" magmom_total_mub_per_cell=0.00 raw_formation_energy_ev_per_atom=-1.324 spacegroup=Cmcm e_tot_ev_per_fu=-35.190 pbc="T T T"
Cs 2.2721 6.0326 11.9186
Cs 2.2721 -6.0326 3.9729
Li 2.2721 5.0907 3.9729
Li 2.2721 -5.0907 11.9186
Tb 2.2721 2.0538 8.9336
Tb 2.2721 2.0538 14.9036
Tb 2.2721 -2.0538 0.9879
Tb 2.2721 -2.0538 6.9579
Te 0.0000 0.0000 0.0000
Te 0.0000 0.0000 7.9457
Te 2.2721 3.6935 1.6477
Te 2.2721 3.6935 6.2980
Te 2.2721 1.2063 11.9186
Te 2.2721 -1.2063 3.9729
Te 2.2721 -3.6935 9.5934
Te 2.2721 -3.6935 14.2438

=====

19.
4
Lattice="0.0000 4.1768 4.1768 4.1768 0.0000 4.1768 4.1768 4.1768 0.0000" Properties=species:S:1:pos:R:3 comment="Cs2LiTc, relaxed, DFT PBE" magmom_total_mub_per_cell=2.20 formation_energy_ev_per_atom=1.365 n_ef_per_ev_atom=1.11 spacegroup=Fm-3m e_tot_ev_per_fu=-8.526 pbc="T T T"
Cs 2.0884 2.0884 2.0884
Cs 6.2652 6.2652 6.2652
Li 0.0000 0.0000 0.0000
Tc 4.1768 4.1768 4.1768

=====

20.
5
Lattice="5.0331 0.0000 0.0000 0.0000 5.0331 0.0000 0.0000 0.0000 4.4198" Properties=species:S:1:pos:R:3 comment="CsLiTiTc2, relaxed, DFT PBE" magmom_total_mub_per_cell=1.12 formation_energy_ev_per_atom=2.341 n_ef_per_ev_atom=1.10 spacegroup=P4/mmm e_tot_ev_per_fu=-19.688 pbc="T T T"
Cs 0.0000 0.0000 0.0000
Li 0.0000 0.0000 2.2099
Ti 2.5166 2.5166 2.2099
Tc 0.0000 2.5166 0.0000
Tc 2.5166 0.0000 0.0000

=====

21.
5
Lattice="5.6124 0.0000 0.0000 0.0000 5.6124 0.0000 0.0000 0.0000 5.6124" Properties=species:S:1:pos:R:3 comment="CsLi3Te, relaxed, DFT PBE" magmom_total_mub_per_cell=0.00 polymorph_energy_ev_per_atom=0.978 raw_formation_energy_ev_per_atom=0.641 n_ef_per_ev_atom=0.83 spacegroup=Pm-3m e_tot_ev_per_fu=-6.533 pbc="T T T"
Cs 0.0000 0.0000 0.0000
Li 0.0000 0.0000 2.8062
Li 0.0000 2.8062 0.0000
Li 2.8062 0.0000 0.0000
Te 2.8062 2.8062 2.8062

=====

22.
12
Lattice="-4.6363 7.9691 3.8552 4.6363 -7.9691 3.8552 4.6363 7.9691 -3.8552" Properties=species:S:1:pos:R:3 comment="Cs3LiTe2, relaxed, DFT PBE" magmom_total_mub_per_cell=0.00 raw_formation_energy_ev_per_atom=-0.991 n_ef_per_ev_atom=0.00 spacegroup=Ibam e_tot_ev_per_fu=-16.702 pbc="T T T"
Cs 6.3693 2.7239 0.0000
Cs 0.0000 0.0000 1.9276
Cs 1.7330 5.2452 0.0000
Cs 2.9033 2.7239 3.8552
Cs 0.0000 0.0000 5.7828
Cs -1.7330 5.2452 3.8552
Li 4.6363 0.0000 1.9276
Li 0.0000 7.9691 1.9276
Te 2.8723 1.5026 0.0000
Te 2.8723 -1.5026 3.8552
Te 1.7640 9.4717 0.0000
Te 1.7640 6.4664 3.8552

=====

23.
14
Lattice="7.6897 0.0000 0.0000 0.0000 7.6897 0.0000 0.0000 0.0000 7.6897" Properties=species:S:1:pos:R:3 comment="CsLi3Te3, relaxed, DFT PBE" magmom_total_mub_per_cell=0.01 raw_formation_energy_ev_per_atom=-0.732 n_ef_per_ev_atom=1.25 spacegroup=Pm-3n e_tot_ev_per_fu=-21.141 pbc="T T T"
Cs 0.0000 0.0000 0.0000
Cs 3.8449 3.8449 3.8449
Li 0.0000 1.9224 3.8449
Li 0.0000 5.7673 3.8449
Li 1.9224 3.8449 0.0000
Li 3.8449 0.0000 1.9224
Li 3.8449 0.0000 5.7673
Li 5.7673 3.8449 0.0000
Te 0.0000 3.8449 1.9224
Te 0.0000 3.8449 5.7673
Te 1.9224 0.0000 3.8449
Te 3.8449 1.9224 0.0000
Te 3.8449 5.7673 0.0000
Te 5.7673 0.0000 3.8449

=====

24.
5
Lattice="7.4229 0.0000 0.0000 0.0000 7.4229 0.0000 0.0000 0.0000 7.4229" Properties=species:S:1:pos:R:3 comment="Cs3LiTe, relaxed, DFT PBE" magmom_total_mub_per_cell=0.00 polymorph_energy_ev_per_atom=0.000 raw_formation_energy_ev_per_atom=-0.421 n_ef_per_ev_atom=0.00 spacegroup=Pm-3m e_tot_ev_per_fu=-9.720 pbc="T T T"
Cs 0.0000 0.0000 3.7115
Cs 0.0000 3.7115 0.0000
Cs 3.7115 0.0000 0.0000
Li 3.7115 3.7115 3.7115
Te 0.0000 0.0000 0.0000

=====

25.
5
Lattice="5.6048 0.0000 0.0000 0.0000 5.6048 0.0000 0.0000 0.0000 5.6048" Properties=species:S:1:pos:R:3 comment="CsLi3Te, relaxed, DFT PBE" magmom_total_mub_per_cell=0.00 polymorph_energy_ev_per_atom=0.000 raw_formation_energy_ev_per_atom=-0.337 n_ef_per_ev_atom=0.05 spacegroup=Pm-3m e_tot_ev_per_fu=-11.422 pbc="T T T"
Cs 0.0000 0.0000 0.0000
Li 0.0000 2.8024 2.8024
Li 2.8024 0.0000 2.8024
Li 2.8024 2.8024 0.0000
Te 2.8024 2.8024 2.8024

=====

26.
10
Lattice="8.4325 0.0000 0.0000 0.0000 8.4325 0.0000 0.0000 0.0000 5.9086" Properties=species:S:1:pos:R:3 comment="Cs2LiTe2, relaxed, DFT PBE" magmom_total_mub_per_cell=1.99 polymorph_energy_ev_per_atom=0.205 raw_formation_energy_ev_per_atom=-0.707 n_ef_per_ev_atom=0.08 spacegroup=P4/mbm e_tot_ev_per_fu=-13.438 pbc="T T T"
Cs 1.3272 2.8891 0.0000
Cs 2.8891 7.1053 0.0000
Cs 5.5435 1.3272 0.0000
Cs 7.1053 5.5435 0.0000
Li 0.0000 0.0000 2.9543
Li 4.2163 4.2163 2.9543
Te 1.2684 5.4847 2.9543
Te 2.9479 1.2684 2.9543
Te 5.4847 7.1641 2.9543
Te 7.1641 2.9479 2.9543